Record 1
LiZnCd: optimized geometry, PBE.

* V: 59 Å³/f.u.
* E above lowest polymorph: 77 meV per atom
* density: 5.24 g cm⁻³
* energy relative to the elements: -75 meV per atom
* symmetry: No. 12

Geometry as POSCAR:
```
LiZnCd
1.0
3.624 0.000 0.000
-1.812 4.580 -0.395
0.000 -2.460 7.269
Cd Zn Li
2 2 2
direct
0.000 0.000 0.000 Cd
0.500 0.000 0.500 Cd
0.165 0.330 0.376 Zn
0.835 0.670 0.624 Zn
0.213 0.426 0.804 Li
0.787 0.574 0.196 Li
```

---

Record 2
Li2Zn2Cd: optimized geometry, PBE.

* V: 83 Å³/f.u.
* E above lowest polymorph: 35 meV per atom
* density: 5.14 g cm⁻³
* energy relative to the elements: -152 meV per atom
* symmetry: No. 127

Geometry as POSCAR:
```
Li2Zn2Cd
1.0
-3.923 5.546 -2.451
-1.248 -3.596 -6.138
-2.617 -1.284 1.284
Zn Li Cd
4 4 2
direct
0.374 0.874 0.000 Zn
0.874 0.626 0.000 Zn
0.126 0.374 0.000 Zn
0.626 0.126 0.000 Zn
0.170 0.670 0.500 Li
0.670 0.830 0.500 Li
0.330 0.170 0.500 Li
0.830 0.330 0.500 Li
0.000 0.000 0.000 Cd
0.500 0.500 0.000 Cd
```

---

Record 3
Li2Zn2Cd7: optimized geometry, PBE.

* V: 218 Å³/f.u.
* density: 7.10 g cm⁻³
* energy relative to the elements: -72 meV per atom
* symmetry: No. 44

Geometry as POSCAR:
```
Li2Zn2Cd7
1.0
-2.476 0.883 -3.922
-4.871 -4.381 2.089
0.503 6.767 4.047
Cd Li Zn
7 2 2
direct
0.500 0.940 0.000 Cd
0.866 0.194 0.731 Cd
0.855 0.757 0.710 Cd
0.145 0.046 0.290 Cd
0.134 0.463 0.269 Cd
0.662 0.782 0.325 Cd
0.338 0.457 0.675 Cd
0.693 0.317 0.386 Li
0.307 0.931 0.614 Li
0.000 0.624 0.000 Zn
0.500 0.342 0.000 Zn
```

---

Record 4
Li7ZnCd4: optimized geometry, PBE.

* V: 212 Å³/f.u.
* density: 4.41 g cm⁻³
* energy relative to the elements: -204 meV per atom
* symmetry: No. 164

Geometry as POSCAR:
```
Li7ZnCd4
1.0
4.659 0.000 0.000
-2.329 4.035 0.000
0.000 0.000 11.290
Zn Li Cd
1 7 4
direct
0.000 0.000 0.500 Zn
0.000 0.000 0.257 Li
0.667 0.333 0.827 Li
0.667 0.333 0.575 Li
0.333 0.667 0.425 Li
0.000 0.000 0.743 Li
0.000 0.000 0.000 Li
0.333 0.667 0.173 Li
0.667 0.333 0.076 Cd
0.667 0.333 0.337 Cd
0.333 0.667 0.663 Cd
0.333 0.667 0.924 Cd
```

---

Record 5
Li6ZnCd3: optimized geometry, PBE.

* V: 183 Å³/f.u.
* E above lowest polymorph: 57 meV per atom
* density: 4.04 g cm⁻³
* energy relative to the elements: -137 meV per atom
* symmetry: No. 36

Geometry as POSCAR:
```
Li6ZnCd3
1.0
-2.325 -2.516 3.743
7.595 -0.830 4.160
-3.718 7.400 2.663
Li Cd Zn
12 6 2
direct
0.794 0.039 0.961 Li
0.294 0.961 0.039 Li
0.933 0.431 0.014 Li
0.433 0.569 0.986 Li
0.029 0.429 0.321 Li
0.529 0.321 0.429 Li
0.433 0.014 0.431 Li
0.617 0.247 0.753 Li
0.529 0.571 0.679 Li
0.029 0.679 0.571 Li
0.933 0.986 0.569 Li
0.117 0.753 0.247 Li
0.958 0.701 0.887 Cd
0.958 0.113 0.299 Cd
0.458 0.299 0.113 Cd
0.564 0.638 0.362 Cd
0.458 0.887 0.701 Cd
0.064 0.362 0.638 Cd
0.170 0.167 0.833 Zn
0.670 0.833 0.167 Zn
```

---

Record 6
Li3ZnCd3: optimized geometry, PBE.

* V: 137 Å³/f.u.
* density: 5.13 g cm⁻³
* energy relative to the elements: -138 meV per atom
* symmetry: No. 65

Geometry as POSCAR:
```
Li3ZnCd3
1.0
-1.894 3.761 -5.336
-5.512 2.252 3.278
3.130 4.581 2.117
Li Cd Zn
6 6 2
direct
0.673 0.327 0.000 Li
0.725 0.275 0.500 Li
0.270 0.270 0.500 Li
0.327 0.673 0.000 Li
0.275 0.725 0.500 Li
0.730 0.730 0.500 Li
0.500 0.000 0.249 Cd
0.000 0.500 0.751 Cd
0.000 0.000 0.246 Cd
0.500 0.000 0.751 Cd
0.000 0.000 0.754 Cd
0.000 0.500 0.249 Cd
0.267 0.267 0.000 Zn
0.733 0.733 0.000 Zn
```

---

Record 7
Li3Zn2Cd: optimized geometry, PBE.

* V: 97 Å³/f.u.
* E above lowest polymorph: 0 meV per atom
* density: 4.53 g cm⁻³
* energy relative to the elements: -202 meV per atom
* symmetry: No. 11

Geometry as POSCAR:
```
Li3Zn2Cd
1.0
-0.946 -2.774 3.302
5.123 -3.754 -1.685
2.610 4.497 4.524
Li Zn Cd
6 4 2
direct
0.750 0.783 0.156 Li
0.250 0.365 0.498 Li
0.250 0.036 0.185 Li
0.750 0.964 0.815 Li
0.250 0.217 0.844 Li
0.750 0.635 0.502 Li
0.750 0.112 0.494 Zn
0.250 0.888 0.506 Zn
0.250 0.561 0.190 Zn
0.750 0.439 0.810 Zn
0.750 0.292 0.163 Cd
0.250 0.708 0.837 Cd
```

---

Record 8
Li2ZnCd2: optimized geometry, PBE.

* V: 99 Å³/f.u.
* E above lowest polymorph: 186 meV per atom
* density: 5.12 g cm⁻³
* energy relative to the elements: 11 meV per atom
* symmetry: No. 139

Geometry as POSCAR:
```
Li2ZnCd2
1.0
-1.130 2.097 2.776
-0.993 -2.991 1.856
5.653 -0.811 5.323
Li Cd Zn
2 2 1
direct
0.750 0.250 0.500 Li
0.250 0.750 0.500 Li
0.398 0.398 0.205 Cd
0.602 0.602 0.795 Cd
0.000 0.000 0.000 Zn
```

---

Record 9
Li8Zn2Cd: optimized geometry, PBE.

* V: 187 Å³/f.u.
* E above lowest polymorph: 0 meV per atom
* density: 2.66 g cm⁻³
* energy relative to the elements: -133 meV per atom
* symmetry: No. 12

Geometry as POSCAR:
```
Li8Zn2Cd
1.0
4.181 0.000 -1.189
-0.251 5.731 -0.882
-0.048 0.133 7.777
Li Zn Cd
8 2 1
direct
0.056 0.731 0.111 Li
0.311 0.097 0.621 Li
0.403 0.536 0.807 Li
0.689 0.903 0.379 Li
0.944 0.269 0.889 Li
0.597 0.464 0.193 Li
0.136 0.193 0.272 Li
0.864 0.807 0.728 Li
0.231 0.620 0.461 Zn
0.769 0.380 0.539 Zn
0.500 0.000 0.000 Cd
```

---

Record 10
Li9Zn2Cd3: optimized geometry, PBE.

* V: 245 Å³/f.u.
* density: 3.60 g cm⁻³
* energy relative to the elements: -132 meV per atom
* symmetry: No. 71

Geometry as POSCAR:
```
Li9Zn2Cd3
1.0
4.470 0.000 -0.915
-0.989 8.797 -4.830
-0.809 -1.795 7.424
Li Cd Zn
9 3 2
direct
0.371 0.997 0.742 Li
0.000 0.500 0.000 Li
0.864 0.596 0.728 Li
0.629 0.003 0.258 Li
0.136 0.868 0.272 Li
0.864 0.132 0.728 Li
0.371 0.745 0.742 Li
0.629 0.255 0.258 Li
0.136 0.404 0.272 Li
0.719 0.719 0.438 Cd
0.000 0.000 0.000 Cd
0.281 0.281 0.562 Cd
0.500 0.649 0.000 Zn
0.500 0.351 0.000 Zn
```

---

Record 11
Li5Zn2Cd12: optimized geometry, PBE.

* V: 388 Å³/f.u.
* density: 6.49 g cm⁻³
* energy relative to the elements: -120 meV per atom
* symmetry: No. 12

Geometry as POSCAR:
```
Li5Zn2Cd12
1.0
-4.955 -3.081 5.251
7.446 -2.493 -0.304
1.679 5.288 4.687
Cd Li Zn
12 5 2
direct
0.443 0.886 0.682 Cd
0.660 0.687 0.755 Cd
0.574 0.744 0.343 Cd
0.830 0.256 0.657 Cd
0.907 0.813 0.115 Cd
0.340 0.313 0.245 Cd
0.170 0.744 0.343 Cd
0.973 0.313 0.245 Cd
0.093 0.187 0.885 Cd
0.557 0.114 0.318 Cd
0.027 0.687 0.755 Cd
0.426 0.256 0.657 Cd
0.764 0.528 0.423 Li
0.312 0.623 0.002 Li
0.000 0.000 0.500 Li
0.236 0.472 0.577 Li
0.688 0.377 0.998 Li
0.315 0.000 0.000 Zn
0.685 0.000 0.000 Zn
```

---

Record 12
Li2ZnCd6: optimized geometry, PBE.

* V: 186 Å³/f.u.
* E above lowest polymorph: 34 meV per atom
* density: 6.74 g cm⁻³
* energy relative to the elements: -95 meV per atom
* symmetry: No. 12

Geometry as POSCAR:
```
Li2ZnCd6
1.0
-0.581 -2.952 0.475
3.108 -1.134 6.526
-6.904 0.654 5.380
Zn Cd Li
1 6 2
direct
0.000 0.000 0.000 Zn
0.625 0.295 0.454 Cd
0.227 0.656 0.891 Cd
0.773 0.344 0.109 Cd
0.375 0.705 0.546 Cd
0.040 0.676 0.245 Cd
0.960 0.324 0.755 Cd
0.659 0.973 0.709 Li
0.341 0.027 0.291 Li
```

---

Record 13
Li3Zn8Cd: optimized geometry, PBE.

* V: 194 Å³/f.u.
* density: 5.62 g cm⁻³
* energy relative to the elements: -142 meV per atom
* symmetry: No. 160

Geometry as POSCAR:
```
Li3Zn8Cd
1.0
-2.965 -4.067 1.014
1.874 -4.747 -0.562
2.277 -2.851 8.220
Zn Cd Li
8 1 3
direct
0.937 0.433 0.693 Zn
0.433 0.937 0.693 Zn
0.942 0.438 0.181 Zn
0.438 0.942 0.181 Zn
0.688 0.688 0.936 Zn
0.438 0.438 0.181 Zn
0.187 0.187 0.440 Zn
0.937 0.937 0.693 Zn
0.874 0.874 0.379 Cd
0.001 0.001 0.997 Li
0.499 0.499 0.503 Li
0.375 0.375 0.874 Li
```

---

Record 14
LiZnCd: optimized geometry, PBE.

* V: 54 Å³/f.u.
* E above lowest polymorph: 78 meV per atom
* density: 5.64 g cm⁻³
* energy relative to the elements: -74 meV per atom
* symmetry: No. 156

Geometry as POSCAR:
```
LiZnCd
1.0
2.982 0.000 0.000
-1.491 2.582 0.000
0.000 0.000 7.062
Li Cd Zn
1 1 1
direct
0.667 0.333 0.347 Li
0.000 0.000 0.002 Cd
0.333 0.667 0.651 Zn
```

---

Record 15
LiZnCd2: optimized geometry, PBE.

* V: 77 Å³/f.u.
* density: 6.37 g cm⁻³
* energy relative to the elements: -36 meV per atom
* symmetry: No. 160

Geometry as POSCAR:
```
LiZnCd2
1.0
-9.846 -0.841 -2.408
-8.806 -3.142 -4.004
-9.481 -3.511 -1.118
Cd Li Zn
2 1 1
direct
0.242 0.242 0.242 Cd
0.005 0.005 0.005 Cd
0.495 0.495 0.495 Li
0.758 0.758 0.758 Zn
```

---

Record 16
Li3ZnCd2: optimized geometry, PBE.

* V: 104 Å³/f.u.
* E above lowest polymorph: 0 meV per atom
* density: 4.97 g cm⁻³
* energy relative to the elements: -184 meV per atom
* symmetry: No. 69

Geometry as POSCAR:
```
Li3ZnCd2
1.0
4.963 1.251 -1.606
0.668 5.075 -1.606
-0.932 -1.047 9.072
Cd Li Zn
4 6 2
direct
0.248 0.752 0.000 Cd
0.752 0.248 0.000 Cd
0.750 0.250 0.500 Cd
0.250 0.750 0.500 Cd
0.168 0.168 0.834 Li
0.170 0.170 0.340 Li
0.665 0.665 0.834 Li
0.830 0.830 0.660 Li
0.832 0.832 0.166 Li
0.335 0.335 0.166 Li
0.338 0.338 0.675 Zn
0.662 0.662 0.325 Zn
```

---

Record 17
Li6ZnCd3: optimized geometry, PBE.

* V: 175 Å³/f.u.
* E above lowest polymorph: 0 meV per atom
* density: 4.22 g cm⁻³
* energy relative to the elements: -193 meV per atom
* symmetry: No. 11

Geometry as POSCAR:
```
Li6ZnCd3
1.0
-0.015 3.601 3.039
-6.326 -2.995 3.517
8.027 -3.773 4.511
Li Cd Zn
12 6 2
direct
0.750 0.345 0.302 Li
0.750 0.953 0.110 Li
0.250 0.238 0.496 Li
0.750 0.547 0.900 Li
0.250 0.655 0.698 Li
0.250 0.862 0.310 Li
0.250 0.047 0.890 Li
0.750 0.762 0.504 Li
0.750 0.138 0.690 Li
0.250 0.453 0.100 Li
0.750 0.851 0.806 Li
0.250 0.149 0.194 Li
0.750 0.655 0.203 Cd
0.750 0.244 0.000 Cd
0.250 0.553 0.401 Cd
0.750 0.447 0.599 Cd
0.250 0.756 0.000 Cd
0.250 0.345 0.797 Cd
0.250 0.949 0.598 Zn
0.750 0.051 0.402 Zn
```

---

Record 18
Li4ZnCd2: optimized geometry, PBE.

* V: 132 Å³/f.u.
* E above lowest polymorph: 61 meV per atom
* density: 3.99 g cm⁻³
* energy relative to the elements: -116 meV per atom
* symmetry: No. 12

Geometry as POSCAR:
```
Li4ZnCd2
1.0
2.926 0.000 0.000
0.000 7.216 0.080
-1.463 -3.440 6.232
Zn Li Cd
1 4 2
direct
0.000 0.000 0.000 Zn
0.080 0.717 0.161 Li
0.920 0.283 0.839 Li
0.631 0.387 0.262 Li
0.369 0.613 0.738 Li
0.776 0.835 0.553 Cd
0.224 0.165 0.447 Cd
```

---

Record 19
Li4ZnCd5: optimized geometry, PBE.

* V: 184 Å³/f.u.
* density: 5.93 g cm⁻³
* energy relative to the elements: -199 meV per atom
* symmetry: No. 123

Geometry as POSCAR:
```
Li4ZnCd5
1.0
-0.795 2.208 -2.418
1.295 -2.074 -2.319
-14.427 -7.081 -1.722
Cd Li Zn
5 4 1
direct
0.500 0.500 0.500 Cd
0.500 0.500 0.304 Cd
0.500 0.500 0.107 Cd
0.500 0.500 0.893 Cd
0.500 0.500 0.696 Cd
0.000 0.000 0.204 Li
0.000 0.000 0.599 Li
0.000 0.000 0.796 Li
0.000 0.000 0.401 Li
0.000 0.000 0.000 Zn
```

---

Record 20
LiZnCd6: optimized geometry, PBE.

* V: 173 Å³/f.u.
* E above lowest polymorph: 26 meV per atom
* density: 7.18 g cm⁻³
* energy relative to the elements: -17 meV per atom
* symmetry: No. 2

Geometry as POSCAR:
```
LiZnCd6
1.0
7.564 0.087 0.386
3.828 6.656 0.515
3.968 2.461 3.772
Cd Zn Li
6 1 1
direct
0.041 0.495 0.214 Cd
0.473 0.756 0.846 Cd
0.959 0.505 0.786 Cd
0.527 0.244 0.154 Cd
0.758 0.960 0.833 Cd
0.242 0.040 0.167 Cd
0.000 0.000 0.000 Zn
0.500 0.500 0.500 Li
```

---

Record 21
LiZnCd: optimized geometry, PBE.

* V: 52 Å³/f.u.
* E above lowest polymorph: 14 meV per atom
* density: 5.91 g cm⁻³
* energy relative to the elements: -138 meV per atom
* symmetry: No. 1

Geometry as POSCAR:
```
LiZnCd
1.0
5.286 0.246 -1.068
2.688 5.059 -0.258
-1.087 0.757 4.250
Li Cd Zn
2 2 2
direct
0.160 0.666 0.057 Li
0.460 0.334 0.708 Li
0.478 0.819 0.716 Cd
0.787 0.988 0.372 Cd
0.108 0.205 0.031 Zn
0.825 0.465 0.389 Zn
```